[1]
First-principles (GGA-PBE) data for a relaxed structure of Rb2CeTlO4, as listed in the Alexandria database.

Cell lengths 6.484, 6.484, 6.484 Å; angles 88.80, 120.70, 120.70 degrees
Fractional positions:
O 0.898 0.537 0.098
O 0.439 0.902 0.800
O 0.561 0.361 0.463
Rb 0.000 0.000 0.000
Tl 0.000 0.500 0.500
Rb 0.500 0.750 0.250
Ce 0.500 0.250 0.750
O 0.102 0.200 0.639

Results
Raw formation energy = -1.803 eV per atom
Space-group type = I-4 (82)
Calculated total energy = -5.562 eV/atom

=====

[2]
First-principles (GGA-PBE) data for a relaxed structure of Pd2AuI, as listed in the Alexandria database.

Cell lengths 4.755, 4.755, 4.755 Å; angles 60.00, 60.00, 60.00 degrees
Fractional positions:
Pd 0.250 0.250 0.250
Pd 0.750 0.750 0.750
Au 0.500 0.500 0.500
I 0.000 0.000 0.000

Results
Raw formation energy = 0.218 eV per atom
Space-group type = Fm-3m (225)
Calculated total energy = -3.585 eV/atom

=====

[3]
First-principles (GGA-PBE) data for a relaxed structure of Ca2LaPaSb4, as listed in the Alexandria database.

Cell lengths 4.552, 7.883, 7.740 Å; angles 109.62, 90.00, 90.00 degrees
Each line ends with the local moment (μB).
Fractional positions:
Ca 0.000 0.500 0.500  0.00
Sb 0.000 0.763 0.242  0.00
Ca 0.500 0.000 0.500  0.00
La 0.500 0.500 0.000  0.00
Pa 0.000 0.000 0.000  -0.16
Sb 0.500 0.767 0.764  0.01
Sb 0.000 0.237 0.758  0.00
Sb 0.500 0.233 0.236  0.01

Results
Raw formation energy = -0.924 eV per atom
Space-group type = P2/m (10)
Calculated total energy = -5.289 eV/atom

=====

[4]
First-principles (GGA-PBE) data for a relaxed structure of ZnInTeI2, as listed in the Alexandria database.

Cell lengths 5.707, 5.707, 5.373 Å; angles 90.00, 90.00, 90.00 degrees
Fractional positions:
I 0.500 0.000 0.000
Zn 0.000 0.000 0.000
I 0.000 0.500 0.000
In 0.500 0.500 0.500
Te 0.000 0.000 0.500

Results
Raw formation energy = -0.106 eV per atom
Space-group type = P4/mmm (123)
Calculated total energy = -2.157 eV/atom

=====

[5]
First-principles (GGA-PBE) data for a relaxed structure of TbPaReOs, as listed in the Alexandria database.

Cell lengths 4.877, 4.877, 4.877 Å; angles 60.00, 60.00, 60.00 degrees
Fractional positions:
Pa 0.500 0.500 0.500
Tb 0.000 0.000 0.000
Re 0.250 0.250 0.250
Os 0.750 0.750 0.750

Results
Energy of formation = -38 meV/atom
Space-group type = F-43m (216)
Calculated total energy = -9.489 eV/atom

=====

[6]
First-principles (GGA-PBE) data for a relaxed structure of TaNb5Tc6, as listed in the Alexandria database.

Cell lengths 4.519, 6.393, 7.808 Å; angles 114.17, 106.82, 90.00 degrees
Fractional positions:
Nb 0.667 0.667 0.334
Nb 0.333 0.333 0.666
Tc 0.167 0.917 0.333
Tc 0.500 0.750 0.000
Tc 0.833 0.584 0.667
Nb 0.000 0.500 0.000
Ta 0.000 0.000 0.000
Nb 0.334 0.834 0.667
Tc 0.167 0.416 0.333
Tc 0.500 0.250 0.000
Tc 0.833 0.083 0.667
Nb 0.666 0.166 0.333

Results
Energy of formation = -373 meV/atom
Space-group type = Immm (71)
Calculated total energy = -10.739 eV/atom

=====

[7]
First-principles (GGA-PBE) data for a relaxed structure of Be2Ge2Ru, as listed in the Alexandria database.

Cell lengths 6.181, 6.181, 3.340 Å; angles 90.00, 90.00, 90.00 degrees
Fractional positions:
Be 0.874 0.626 0.000
Be 0.626 0.126 0.000
Be 0.126 0.374 0.000
Ru 0.500 0.500 0.000
Be 0.374 0.874 0.000
Ru 0.000 0.000 0.000
Ge 0.828 0.328 0.500
Ge 0.172 0.672 0.500
Ge 0.328 0.172 0.500
Ge 0.672 0.828 0.500

Results
Energy of formation = 208 meV/atom
Space-group type = P4/mbm (127)
Calculated total energy = -4.985 eV/atom

=====

[8]
First-principles (GGA-PBE) data for a relaxed structure of NdRu2C3, as listed in the Alexandria database.

Cell lengths 5.302, 7.036, 5.825 Å; angles 127.15, 90.00, 90.00 degrees
Fractional positions:
Ru 0.500 0.193 0.000
C 0.750 0.466 0.125
C 0.250 0.341 0.875
Nd 0.750 0.287 0.574
Ru 0.000 0.193 0.000
C 0.250 0.079 0.159
Nd 0.250 0.713 0.426
C 0.250 0.534 0.875
C 0.750 0.921 0.841
Ru 0.000 0.807 0.000
Ru 0.500 0.807 0.000
C 0.750 0.659 0.125

Results
Energy of formation = 134 meV/atom
Space-group type = Cmcm (63)
Calculated total energy = -8.365 eV/atom

=====

[9]
First-principles (GGA-PBE) data for a relaxed structure of ZrBrNO2, as listed in the Alexandria database.

Cell lengths 4.094, 4.094, 4.795 Å; angles 90.00, 90.00, 90.00 degrees
Each line ends with the local moment (μB).
Fractional positions:
O 0.000 0.500 0.000  0.06
N 0.000 0.000 0.500  0.80
Br 0.500 0.500 0.500  -0.23
O 0.500 0.000 0.000  0.06
Zr 0.000 0.000 0.000  -0.04

Results
Raw formation energy = -0.523 eV per atom
Space-group type = P4/mmm (123)
Calculated total energy = -6.215 eV/atom

=====

[10]
First-principles (GGA-PBE) data for a relaxed structure of Ga2SnAsS, as listed in the Alexandria database.

Cell lengths 4.889, 5.388, 4.889 Å; angles 90.00, 90.00, 90.00 degrees
Fractional positions:
S 0.000 0.000 0.000
As 0.500 0.500 0.500
Ga 0.000 0.000 0.500
Ga 0.500 0.000 0.000
Sn 0.000 0.500 0.000

Results
Raw formation energy = 0.335 eV per atom
Space-group type = P4/mmm (123)
Calculated total energy = -3.432 eV/atom